Entry from the Alexandria database: a geometry-optimized HfPd4Au2 structure (PBE-GGA).

Calculated values
The formation energy from the elements comes out at -2.2 eV per formula unit. For the energy above the most stable polymorph in this dataset, the calculation gives 0.187 eV/atom.

Lattice parameters (Å, degrees): 9.118 5.421 7.056 135.50 90.00 90.00
Element x y z (fractional)
Hf: 0.000 0.000 0.000
Hf: 0.500 0.500 0.000
Pd: 0.757 0.644 0.930
Pd: 0.842 0.414 0.456
Pd: 0.658 0.914 0.456
Pd: 0.743 0.144 0.930
Pd: 0.257 0.856 0.070
Pd: 0.342 0.086 0.544
Pd: 0.158 0.586 0.544
Pd: 0.243 0.356 0.070
Au: 0.952 0.700 0.264
Au: 0.048 0.300 0.736
Au: 0.452 0.800 0.736
Au: 0.548 0.200 0.264

=====

Entry from the Alexandria database: a geometry-optimized HfPd7Au2 structure (PBE-GGA).

Calculated values
The formation energy from the elements comes out at 0.9 eV per formula unit.

Lattice parameters (Å, degrees): 4.208 7.750 7.750 123.65 90.00 90.00
Element x y z (fractional)
Hf: 0.000 0.000 0.000
Pd: 0.000 0.812 0.188
Pd: 0.000 0.188 0.812
Pd: 0.500 0.082 0.283
Pd: 0.500 0.918 0.717
Pd: 0.500 0.283 0.082
Pd: 0.500 0.717 0.918
Pd: 0.500 0.500 0.500
Au: 0.500 0.698 0.302
Au: 0.500 0.302 0.698

=====

Entry from the Alexandria database: a geometry-optimized HfPd2Au6 structure (PBE-GGA).

Calculated values
The formation energy from the elements comes out at -2.9 eV per formula unit. For the energy above the most stable polymorph in this dataset, the calculation gives 0.000 eV/atom.

Lattice parameters (Å, degrees): 3.996 6.620 6.617 107.68 107.58 90.00
Element x y z (fractional)
Hf: 0.500 0.500 0.000
Pd: 0.949 0.180 0.899
Pd: 0.051 0.820 0.101
Au: 0.391 0.831 0.782
Au: 0.609 0.169 0.218
Au: 0.720 0.836 0.441
Au: 0.164 0.506 0.328
Au: 0.280 0.164 0.559
Au: 0.836 0.494 0.672

=====

Entry from the Alexandria database: a geometry-optimized Hf6PdAu3 structure (PBE-GGA).

Calculated values
The formation energy from the elements comes out at -1.8 eV per formula unit.

Lattice parameters (Å, degrees): 5.300 8.756 9.045 90.00 90.38 90.00
Element x y z (fractional)
Hf: 0.575 0.179 0.953
Hf: 0.572 0.185 0.555
Hf: 0.623 0.360 0.256
Hf: 0.377 0.640 0.744
Hf: 0.428 0.815 0.445
Hf: 0.425 0.821 0.047
Hf: 0.075 0.321 0.453
Hf: 0.072 0.315 0.055
Hf: 0.123 0.140 0.756
Hf: 0.877 0.860 0.244
Hf: 0.928 0.685 0.945
Hf: 0.925 0.679 0.547
Pd: 0.500 0.500 0.500
Pd: 0.000 0.000 0.000
Au: 0.647 0.912 0.753
Au: 0.500 0.500 0.000
Au: 0.353 0.088 0.247
Au: 0.147 0.588 0.253
Au: 0.000 0.000 0.500
Au: 0.853 0.412 0.747